# TaFeI2F

Crystalline TaFeI2F at its relaxed geometry (GGA+U, the Alexandria database).

The structure in extended XYZ format:
```
5
Lattice="-4.943 2.412 0.682 -0.989 -2.722 2.458 2.049 3.021 4.170" Properties=species:S:1:pos:R:3 pbc="T T T"
I 1.025 1.510 2.085
I -2.471 1.206 0.341
F -0.494 -1.361 1.229
Fe 0.000 0.000 0.000
Ta -1.941 1.355 3.655
```

## Properties
* D(E_F): 4.63 states/eV/f.u.
* uncorrected energy: -4.112 eV/atom